# FeMoCl6 PBE optimized geometry
data_FeMoCl6
_space_group_name_H-M_alt 'C 1 2/c 1'
_space_group_IT_number 15
_cell_length_a 6.198
_cell_length_b 10.782
_cell_length_c 11.816
_cell_angle_alpha 90.00
_cell_angle_beta 90.31
_cell_angle_gamma 90.00
loop_
_space_group_symop_operation_xyz
'x,y,z'
'-x,-y,-z'
'-x,y,-z+1/2'
'x,-y,z+1/2'
'x+1/2,y+1/2,z'
'-x+1/2,-y+1/2,-z'
'-x+1/2,y+1/2,-z+1/2'
'x+1/2,-y+1/2,z+1/2'
loop_
_atom_site_label
_atom_site_type_symbol
_atom_site_fract_x
_atom_site_fract_y
_atom_site_fract_z
Fe1 Fe 0.000 0.002 0.250
Mo1 Mo 0.000 0.332 0.250
Cl1 Cl 0.143 0.168 0.133
Cl2 Cl 0.177 0.487 0.134
Cl3 Cl 0.181 0.156 0.633
# VASP energy: -4.55 eV per atom
# M_tot: 6.79 μB/f.u.
# E above lowest polymorph: 0 meV per atom